# 1
VASP calculation (PBE-GGA) on crystalline NaPdI at its relaxed geometry.

CIF file:
```
data_NaPdI
_space_group_name_H-M_alt 'P 63/m m c'
_space_group_IT_number 194
_space_group_name_Hall '-P 6c 2c'
_cell_length_a 5.2922
_cell_length_b 5.2922
_cell_length_c 10.2124
_cell_angle_alpha 90.00
_cell_angle_beta 90.00
_cell_angle_gamma 120.00
loop_
_atom_site_label
_atom_site_fract_x
_atom_site_fract_y
_atom_site_fract_z
Na1 0.3333 0.6667 0.2500
Pd1 0.0000 0.0000 0.0000
I1 0.0000 0.0000 0.2500
```

Calculated values
Excess energy over the best structure of this formula in the dataset: 276 meV/atom
Electronic total energy: -2.942 eV/atom
Volume: 248 Å³/cell

# 2
VASP calculation (PBE-GGA) on crystalline BeSb2W at its relaxed geometry.

CIF file:
```
data_BeSb2W
_space_group_name_H-M_alt 'R 3 m'
_space_group_IT_number 160
_space_group_name_Hall 'R 3 -2"'
_cell_length_a 3.1851
_cell_length_b 3.1851
_cell_length_c 30.2859
_cell_angle_alpha 90.00
_cell_angle_beta 90.00
_cell_angle_gamma 120.00
loop_
_atom_site_label
_atom_site_fract_x
_atom_site_fract_y
_atom_site_fract_z
Be1 0.0000 0.0000 0.0000
Sb1 0.0000 0.0000 0.5395
Sb2 0.0000 0.0000 0.7287
W1 0.0000 0.0000 0.2758
```

Calculated values
Electronic total energy: -5.644 eV/atom
Volume: 266 Å³/cell